1.
Here is a relaxed structure of YEr2MgRh4 from Alexandria via LeMat-Bulk. Energies are from PBE-GGA.

Values from the calculation:
Formation energy   -831 meV per atom
M_tot   0.0 μB/f.u.
DFT total energy   -53.2 eV per formula unit

POSCAR file:
```
YEr2MgRh4
1.0
4.720 0.000 0.000
2.360 4.088 0.000
2.360 1.363 7.742
Mg Rh Er Y
1 4 2 1
Cartesian
4.720 2.725 3.871
2.360 1.363 4.831
4.720 2.725 6.730
7.081 4.088 2.910
4.720 2.725 1.012
2.360 1.363 2.060
7.081 4.088 5.682
0.000 0.000 0.000
```

=====

2.
Here is a relaxed structure of ZnAsRu3 from Alexandria via LeMat-Bulk. Energies are from PBE-GGA.

Values from the calculation:
Formation energy   879 meV per atom
M_tot   1.7 μB/f.u.
DFT total energy   -29.4 eV per formula unit

POSCAR file:
```
ZnAsRu3
1.0
-1.334 3.493 -2.518
-1.324 -2.842 -3.240
-4.098 -0.219 1.867
As Ru Zn
1 3 1
Cartesian
0.000 0.000 0.000
-2.049 -0.110 0.934
-0.662 -1.421 -1.620
-0.667 1.747 -1.259
-3.378 0.216 -1.946
```

=====

3.
Here is a relaxed structure of Li2Hg2Sb from Alexandria via LeMat-Bulk. Energies are from PBE-GGA.

Values from the calculation:
Energy relative to the elements, uncorrected   -0.2524 eV/atom
M_tot   0.0 μB/f.u.
DFT total energy   -9.8 eV per formula unit

POSCAR file:
```
Li2Hg2Sb
1.0
-4.364 -6.322 -1.074
1.414 0.318 -7.621
2.844 -2.039 0.443
Li Hg Sb
4 4 2
Cartesian
-2.789 -5.165 -5.868
-2.626 -4.064 -1.844
-0.325 -1.941 -6.851
-0.161 -0.839 -2.826
1.706 -1.722 -4.837
-0.175 -4.815 -6.997
0.069 -3.228 -1.255
-1.812 -6.321 -3.415
-1.475 -3.002 -4.347
0.000 0.000 0.000
```

=====

4.
Here is a relaxed structure of BaGaP2S8 from Alexandria via LeMat-Bulk. Energies are from PBE-GGA.

Values from the calculation:
Energy relative to the elements, uncorrected   -0.5292 eV/atom
M_tot   0.0 μB/f.u.
DFT total energy   -55.1 eV per formula unit

POSCAR file:
```
BaGaP2S8
1.0
5.953 0.000 0.000
-2.976 5.155 0.000
0.000 0.000 8.954
S P Ba Ga
8 2 1 1
Cartesian
-0.961 1.683 6.050
-1.038 5.146 6.050
3.938 3.472 2.904
0.000 3.437 8.617
2.000 3.481 6.050
4.015 0.009 2.904
0.977 1.674 2.904
2.976 1.718 0.337
2.976 1.718 2.371
0.000 3.437 6.583
0.000 0.000 0.000
0.000 0.000 4.477
```

=====

5.
Here is a relaxed structure of KY2OsPt from Alexandria via LeMat-Bulk. Energies are from PBE-GGA.

Values from the calculation:
Formation energy   351 meV per atom
M_tot   0.0 μB/f.u.
DFT total energy   -29.5 eV per formula unit

POSCAR file:
```
KY2OsPt
1.0
5.465 0.000 0.000
0.000 4.935 0.000
0.000 0.000 5.465
Y Pt Os K
2 1 1 1
Cartesian
0.000 0.000 2.732
2.732 0.000 0.000
0.000 0.000 0.000
0.000 2.468 0.000
2.732 2.468 2.732
```

=====

6.
Here is a relaxed structure of Hg2ICl8 from Alexandria via LeMat-Bulk. Energies are from PBE-GGA.

Values from the calculation:
Energy relative to the elements, uncorrected   -0.3479 eV/atom
M_tot   0.9 μB/f.u.
DFT total energy   -20.8 eV per formula unit

POSCAR file:
```
Hg2ICl8
1.0
7.137 0.000 0.000
-3.569 5.877 -1.946
0.000 0.130 9.560
Hg Cl I
2 8 1
Cartesian
0.000 3.893 2.799
3.569 2.114 4.815
-1.834 4.323 7.130
1.735 1.684 0.484
1.834 4.323 7.130
3.569 3.794 3.210
0.000 2.213 4.404
0.000 5.433 1.056
5.402 1.684 0.484
3.569 0.574 6.558
0.000 0.000 0.000
```

=====

7.
Here is a relaxed structure of SrPu2GaN4 from Alexandria via LeMat-Bulk. Energies are from PBE-GGA.

Values from the calculation:
Energy relative to the elements, uncorrected   -0.9359 eV/atom
M_tot   9.0 μB/f.u.
DFT total energy   -74.2 eV per formula unit

POSCAR file:
```
SrPu2GaN4
1.0
-2.107 2.185 1.742
1.272 -4.646 3.852
9.344 5.848 3.967
Ga N Sr Pu
2 8 2 4
Cartesian
6.099 3.130 6.967
2.410 0.256 2.594
4.672 2.924 1.984
7.192 1.385 6.964
4.773 2.967 5.568
1.163 -1.191 2.901
1.316 2.002 2.597
0.000 0.000 0.000
7.345 4.577 6.660
3.736 0.419 3.994
7.051 3.685 3.908
1.458 -0.298 5.654
9.070 2.946 7.278
-0.561 0.441 2.284
5.269 0.567 5.664
3.240 2.820 3.898
```

=====

8.
Here is a relaxed structure of Ba2HgGeRh from Alexandria via LeMat-Bulk. Energies are from PBE-GGA.

Values from the calculation:
Formation energy   -429 meV per atom
M_tot   0.0 μB/f.u.
DFT total energy   -18.3 eV per formula unit

POSCAR file:
```
Ba2HgGeRh
1.0
6.087 0.000 0.000
0.000 6.087 0.000
0.000 0.000 4.761
Hg Ba Rh Ge
1 2 1 1
Cartesian
3.044 3.044 2.381
0.000 3.044 0.000
3.044 0.000 0.000
0.000 0.000 0.000
0.000 0.000 2.381
```